Material: DySc3C2Se2
Method: DFT, PBE
State: relaxed

abc: 3.5732 3.5732 12.5801
angles: 90.00 90.00 120.00
Space group P3m1 (No. 156)
Unique sites:
Dy: 0.0000 0.0000 0.0000 [1 per cell]
Sc: 0.0000 0.0000 0.3097 [1 per cell]
Sc: 0.3333 0.6667 0.5001 [1 per cell]
Sc: 0.3333 0.6667 0.7959 [1 per cell]
C: 0.6667 0.3333 0.4055 [1 per cell]
C: 0.6667 0.3333 0.8929 [1 per cell]
Se: 0.0000 0.0000 0.6483 [1 per cell]
Se: 0.3333 0.6667 0.1638 [1 per cell]

Summary:
Total magnetic moment (μB/f.u.): 0.001
Total DFT energy (no corrections) (eV for the cell shown): -58.18